Re3Ru | the Alexandria database | PBE | optimized geometry; space-group type = P-6m2; spin magnetization = 0.000 μB per atom; electronic total energy = -46.76 eV/cell; N(E_F) = 3.0 states/eV per cell
1.0
2.771 0.000 0.000
-1.385 2.400 0.000
0.000 0.000 8.828
Re Ru
3 1
direct
0.000 0.000 0.000 Re
0.667 0.333 0.253 Re
0.667 0.333 0.747 Re
0.000 0.000 0.500 Ru

***

Re3Ru4 | the Alexandria database | PBE | optimized geometry; space-group type = P6/mmm; spin magnetization = 0.000 μB per atom; electronic total energy = -72.56 eV/cell; energy above the lowest structure with this stoichiometry = 0.0 kJ per mole of atoms; N(E_F) = 7.1 states/eV per cell
1.0
5.027 0.000 0.000
-2.513 4.353 0.000
0.000 0.000 4.822
Re Ru
3 4
direct
0.000 0.500 0.000 Re
0.500 0.000 0.000 Re
0.500 0.500 0.000 Re
0.000 0.000 0.257 Ru
0.000 0.000 0.743 Ru
0.333 0.667 0.500 Ru
0.667 0.333 0.500 Ru

***

Re4Ru5 | the Alexandria database | PBE | optimized geometry; space-group type = P6_3/mcm; spin magnetization = 0.000 μB per atom; electronic total energy = -190.10 eV/cell; energy above the lowest structure with this stoichiometry = 6.1 kJ per mole of atoms; N(E_F) = 16.6 states/eV per cell
1.0
7.481 0.000 0.000
-3.741 6.479 0.000
0.000 0.000 5.432
Re Ru
8 10
direct
0.000 0.000 0.000 Re
0.000 0.000 0.500 Re
0.000 0.331 0.250 Re
0.000 0.669 0.750 Re
0.331 0.000 0.250 Re
0.331 0.331 0.750 Re
0.669 0.000 0.750 Re
0.669 0.669 0.250 Re
0.000 0.335 0.750 Ru
0.000 0.665 0.250 Ru
0.333 0.667 0.000 Ru
0.333 0.667 0.500 Ru
0.335 0.000 0.750 Ru
0.335 0.335 0.250 Ru
0.665 0.000 0.250 Ru
0.665 0.665 0.750 Ru
0.667 0.333 0.000 Ru
0.667 0.333 0.500 Ru

***

ReRu4 | the Alexandria database | PBE | optimized geometry; space-group type = I4/m; spin magnetization = 0.000 μB per atom; electronic total energy = -98.48 eV/cell; energy above the lowest structure with this stoichiometry = 0.0 kJ per mole of atoms; N(E_F) = 9.5 states/eV per cell
1.0
6.060 0.000 0.000
0.000 6.060 0.000
0.000 0.000 3.848
Re Ru
2 8
direct
0.000 0.000 0.000 Re
0.500 0.500 0.500 Re
0.101 0.301 0.500 Ru
0.199 0.601 0.000 Ru
0.301 0.899 0.500 Ru
0.399 0.199 0.000 Ru
0.601 0.801 0.000 Ru
0.699 0.101 0.500 Ru
0.801 0.399 0.000 Ru
0.899 0.699 0.500 Ru

***

ReRu5 | the Alexandria database | PBE | optimized geometry; space-group type = Amm2; spin magnetization = 0.000 μB per atom; electronic total energy = -118.11 eV/cell; energy above the lowest structure with this stoichiometry = 0.4 kJ per mole of atoms; N(E_F) = 10.3 states/eV per cell
1.0
4.334 0.000 0.000
0.000 2.736 0.000
0.000 0.000 14.213
Re Ru
2 10
direct
0.000 0.000 0.000 Re
0.000 0.500 0.500 Re
0.000 0.000 0.331 Ru
0.000 0.000 0.665 Ru
0.000 0.500 0.165 Ru
0.000 0.500 0.831 Ru
0.500 0.000 0.110 Ru
0.500 0.000 0.443 Ru
0.500 0.000 0.777 Ru
0.500 0.500 0.277 Ru
0.500 0.500 0.610 Ru
0.500 0.500 0.943 Ru

***

Re3Ru | the Alexandria database | PBE | optimized geometry; space-group type = Pmm2; spin magnetization = 0.000 μB per atom; electronic total energy = -46.83 eV/cell; N(E_F) = 3.3 states/eV per cell
1.0
2.770 0.000 0.000
0.000 4.426 0.000
0.000 0.000 4.791
Re Ru
3 1
direct
0.000 0.000 0.000 Re
0.000 0.500 0.334 Re
0.500 0.000 0.501 Re
0.500 0.500 0.840 Ru

***

Number 1: E_form -0.833 kcal/mol of atoms. Number 2: E_form 6.209 kcal/mol of atoms. Number 3: E_form 2.878 kcal/mol of atoms. Number 4: E_form 1.430 kcal/mol of atoms. Number 5: E_form -0.866 kcal/mol of atoms. Number 6: E_form -1.182 kcal/mol of atoms.